Record 1
NdSmZn2 | meta-GGA SCAN | PBEsol geometry

a = 5.0761 Å, b = 5.0761 Å, c = 5.0761 Å
α = 60.00°, β = 60.00°, γ = 60.00°
Closest atoms and distances in Å follow each position.
Positions (direct):
Zn 0.2500 0.2500 0.2500  4 Nd 3.11, 4 Sm 3.11
Zn 0.7500 0.7500 0.7500  4 Sm 3.11, 4 Nd 3.11
Nd 0.5000 0.5000 0.5000  8 Zn 3.11
Sm 0.0000 0.0000 0.0000  8 Zn 3.11

Properties
Energy of formation from the pure elements (kJ per mole of atoms): -36.6
Space group: Fm-3m, No. 225

Record 2
OsS2ICl | meta-GGA SCAN | PBEsol geometry

a = 5.0987 Å, b = 5.0987 Å, c = 5.0655 Å
α = 90.00°, β = 90.00°, γ = 90.00°
Closest atoms and distances in Å follow each position.
Positions (direct):
I 0.0000 0.0000 0.0000  2 Cl 2.53, 4 S 2.55
S 0.0000 0.5000 0.0000  2 I 2.55
S 0.5000 0.0000 0.0000  2 I 2.55
Os 0.5000 0.5000 0.5000  8 S 3.59, 4 Cl 3.61
Cl 0.0000 0.0000 0.5000  2 I 2.53

Properties
Space group: P4/mmm, No. 123
Energy relative to the elements, uncorrected (eV per atom): 1.87

Number 1: M_tot 0.0 μB per cell. Number 2: M_tot 4.6 μB per cell.